Ti2Nb3Ge3 after structural relaxation. Source: Alexandria via LeMat-Bulk, functional GGA-PBE.

- total magnetic moment (μB/f.u.) = 0.0
- crystal system = hexagonal
- ΔH_f (0 K) (meV/atom) = -551
- DOS at the Fermi energy (states/eV/atom) = 1.28

Cell and atoms, written as POSCAR:
```
Ti2Nb3Ge3
1.0
7.653 0.000 0.000
-3.827 6.628 0.000
0.000 0.000 5.212
Ti Nb Ge
4 6 6
Direct
0.333 0.667 0.000 Ti
0.333 0.667 0.500 Ti
0.667 0.333 0.000 Ti
0.667 0.333 0.500 Ti
0.000 0.243 0.250 Nb
0.000 0.757 0.750 Nb
0.243 0.000 0.250 Nb
0.243 0.243 0.750 Nb
0.757 0.000 0.750 Nb
0.757 0.757 0.250 Nb
0.000 0.398 0.750 Ge
0.000 0.602 0.250 Ge
0.398 0.000 0.750 Ge
0.398 0.398 0.250 Ge
0.602 0.000 0.250 Ge
0.602 0.602 0.750 Ge
```